# KCoCu2Ru | the Alexandria database | PBE | optimized geometry
# size of the total moment	1.86	μB per formula unit
# final energy	-20.720	eV/cell
# formation energy	4.95	eV/f.u.
data_KCoCu2Ru
_chemical_formula_sum 'K1 Co1 Cu2 Ru1'
_cell_length_a 4.811
_cell_length_b 4.811
_cell_length_c 4.348
_cell_angle_alpha 90.00
_cell_angle_beta 90.00
_cell_angle_gamma 90.00
_symmetry_space_group_name_H-M 'P 4/m m m'
_symmetry_Int_Tables_number 123
_symmetry_space_group_name_Hall '-P 4 2'
loop_
_atom_site_label
_atom_site_type_symbol
_atom_site_fract_x
_atom_site_fract_y
_atom_site_fract_z
K1 K 0.000 0.000 0.000
Co1 Co 0.500 0.500 0.000
Cu1 Cu 0.000 0.500 0.500
Ru1 Ru 0.500 0.500 0.500